A relaxed TeIrSe2 crystal. Source: the Alexandria database, functional GGA-PBE.

a b c (Å): 3.5673 4.4286 11.6297
angles (deg): 90.00 90.00 90.00
Space group Imm2 (No. 44)
Unique sites:
1 Te 0.0000 0.0000 0.0000 x2
2 Ir 0.0000 0.5000 0.3266 x2
3 Se 0.0000 0.0000 0.6732 x2
4 Se 0.0000 0.5000 0.8426 x2

Results
Calculated volume (Å³ per atom): 22.97
Energy relative to the elements, uncorrected (eV/atom): 0.179
DFT total energy (eV per atom): -4.5643